[1]
Here is Zr2InPb after structural relaxation from the Alexandria database. Energies are from PBEsol.

Results
raw total energy	-6.33	eV/atom
N(E_F)	7.77	states/eV per cell
total magnetization	0.0	μB/f.u.
theoretical density	8.77	g cm⁻³

```
data_Zr2InPb
_chemical_formula_sum 'Zr4 In2 Pb2'
_cell_length_a 4.412
_cell_length_b 4.518
_cell_length_c 9.584
_cell_angle_alpha 90.00
_cell_angle_beta 90.00
_cell_angle_gamma 90.00
_space_group_name_H-M_alt 'C m m 2'
_space_group_IT_number 35
loop_
_space_group_symop_operation_xyz
'x,y,z'
'-x,-y,z'
'-x,y,z'
'x,-y,z'
'x+1/2,y+1/2,z'
'-x+1/2,-y+1/2,z'
'-x+1/2,y+1/2,z'
'x+1/2,-y+1/2,z'
loop_
_atom_site_label
_atom_site_fract_x
_atom_site_fract_y
_atom_site_fract_z
_atom_site_occupancy
Zr1 0.000 0.000 0.000 1
Zr2 0.000 0.500 0.229 1
In1 0.000 0.000 0.461 1
Pb1 0.000 0.500 0.745 1
```


[2]
Here is ZrInPb2 after structural relaxation from the Alexandria database. Energies are from PBEsol.

Results
raw total energy	-5.02	eV/atom
N(E_F)	2.64	states/eV per cell
total magnetization	0.0	μB/f.u.
theoretical density	10.58	g cm⁻³

```
data_ZrInPb2
_chemical_formula_sum 'Zr1 In1 Pb2'
_cell_length_a 4.809
_cell_length_b 4.809
_cell_length_c 4.211
_cell_angle_alpha 90.00
_cell_angle_beta 90.00
_cell_angle_gamma 90.00
_space_group_name_H-M_alt 'P 4/m m m'
_space_group_IT_number 123
_space_group_name_Hall '-P 4 2'
loop_
_atom_site_label
_atom_site_fract_x
_atom_site_fract_y
_atom_site_fract_z
_atom_site_occupancy
Zr1 0.000 0.000 0.000 1
In1 0.500 0.500 0.000 1
Pb1 0.000 0.500 0.500 1
```


[3]
Here is Zr2InPb after structural relaxation from the Alexandria database. Energies are from PBEsol.

Results
raw total energy	-6.57	eV/atom
N(E_F)	2.43	states/eV per cell
total magnetization	0.0	μB/f.u.
theoretical density	9.52	g cm⁻³

```
data_Zr2InPb
_chemical_formula_sum 'Zr2 In1 Pb1'
_cell_length_a 3.187
_cell_length_b 3.187
_cell_length_c 8.661
_cell_angle_alpha 90.00
_cell_angle_beta 90.00
_cell_angle_gamma 90.00
_space_group_name_H-M_alt 'P 4/m m m'
_space_group_IT_number 123
_space_group_name_Hall '-P 4 2'
loop_
_atom_site_label
_atom_site_fract_x
_atom_site_fract_y
_atom_site_fract_z
_atom_site_occupancy
Zr1 0.000 0.000 0.241 1
In1 0.500 0.500 0.000 1
Pb1 0.500 0.500 0.500 1
```


[4]
Here is In7Pd3 after structural relaxation from the Alexandria database. Energies are from PBEsol.

Results
raw total energy	-4.30	eV/atom
N(E_F)	4.86	states/eV per cell
total magnetization	0.0	μB/f.u.
theoretical density	8.95	g cm⁻³

```
data_In7Pd3
_chemical_formula_sum 'In28 Pd12'
_cell_length_a 9.410
_cell_length_b 9.410
_cell_length_c 9.410
_cell_angle_alpha 90.00
_cell_angle_beta 90.00
_cell_angle_gamma 90.00
_space_group_name_H-M_alt 'I m -3 m'
_space_group_IT_number 229
_space_group_name_Hall '-I 4 2 3'
loop_
_atom_site_label
_atom_site_fract_x
_atom_site_fract_y
_atom_site_fract_z
_atom_site_occupancy
In1 0.000 0.250 0.500 1
In2 0.162 0.162 0.162 1
Pd1 0.000 0.000 0.348 1
```


[5]
Here is InPd3 after structural relaxation from the Alexandria database. Energies are from PBEsol.

Results
raw total energy	-5.66	eV/atom
N(E_F)	3.95	states/eV per cell
total magnetization	0.0	μB/f.u.
theoretical density	11.56	g cm⁻³

```
data_InPd3
_chemical_formula_sum 'In1 Pd3'
_cell_length_a 3.965
_cell_length_b 3.965
_cell_length_c 3.965
_cell_angle_alpha 90.00
_cell_angle_beta 90.00
_cell_angle_gamma 90.00
_space_group_name_H-M_alt 'P m -3 m'
_space_group_IT_number 221
_space_group_name_Hall '-P 4 2 3'
loop_
_atom_site_label
_atom_site_fract_x
_atom_site_fract_y
_atom_site_fract_z
_atom_site_occupancy
In1 0.000 0.000 0.000 1
Pd1 0.000 0.500 0.500 1
```


[6]
Here is InPd3 after structural relaxation from the Alexandria database. Energies are from PBEsol.

Results
raw total energy	-5.68	eV/atom
N(E_F)	3.39	states/eV per cell
total magnetization	0.0	μB/f.u.
theoretical density	11.56	g cm⁻³

```
data_InPd3
_chemical_formula_sum 'In2 Pd6'
_cell_length_a 4.079
_cell_length_b 4.079
_cell_length_c 7.494
_cell_angle_alpha 90.00
_cell_angle_beta 90.00
_cell_angle_gamma 90.00
_space_group_name_H-M_alt 'I 4/m m m'
_space_group_IT_number 139
_space_group_name_Hall '-I 4 2'
loop_
_atom_site_label
_atom_site_fract_x
_atom_site_fract_y
_atom_site_fract_z
_atom_site_occupancy
In1 0.000 0.000 0.000 1
Pd1 0.000 0.000 0.500 1
Pd2 0.000 0.500 0.250 1
```